! Cs2BaCrF6 (GGA+U, relaxed); values from VASP
! Volume in Å³ per cell: 213.6
! Final energy in eV/atom: -5.245
&SYSTEM
  ibrav = 0, nat = 10, ntyp = 4
/
ATOMIC_SPECIES
Cs 132.91 Cs.upf
Ba 137.33 Ba.upf
Cr 52.00 Cr.upf
F 19.00 F.upf
ATOMIC_POSITIONS angstrom
Cs 3.271 0.000 2.496
Cs 0.000 3.271 2.496
Ba 0.000 0.000 0.000
Cr 0.000 0.000 4.991
F 0.000 0.000 2.558
F 1.823 1.823 0.000
F 1.449 -1.449 4.991
F -1.449 1.449 4.991
F 1.449 1.449 4.991
F 0.000 0.000 7.424
CELL_PARAMETERS angstrom
-3.271 3.271 4.991
3.271 -3.271 4.991
3.271 3.271 -4.991